(1)
Below is a PBEsol-optimized structure of AlSbTe2, with properties calculated at the meta-GGA SCAN level.

Cell lengths 3.834, 4.944, 11.219 Å; angles 90.00, 90.00, 90.00 degrees
Space group Imm2 (No. 44)
One atom of each set of equivalent atoms:
1 Al 0.000 0.000 0.000
2 Sb 0.000 0.500 0.306
3 Te 0.000 0.000 0.465
4 Te 0.000 0.500 0.678

Values from the calculation:
* formation energy (no corrections): 80 meV/atom
* DOS(E_F): 1.75 states/eV/f.u.
* energy relative to the lowest polymorph listed for this composition: 149 meV/atom
* DFT total energy: -119.20 eV/f.u.

=====

(2)
Below is a PBEsol-optimized structure of TiFeO3, with properties calculated at the meta-GGA SCAN level.

Cell lengths 5.200, 7.405, 5.097 Å; angles 90.00, 90.00, 90.00 degrees
Space group Pnma (No. 62)
One atom of each set of equivalent atoms:
1 Ti 0.000 0.000 0.000
2 Fe 0.048 0.250 0.492
3 O 0.073 0.750 0.880
4 O 0.175 0.564 0.332

Values from the calculation:
* formation energy (no corrections): -2473 meV/atom
* DOS(E_F): 1.06 states/eV/f.u.
* DFT total energy: -65.22 eV/f.u.

=====

(3)
Below is a PBEsol-optimized structure of CrP, with properties calculated at the meta-GGA SCAN level.

Cell lengths 4.483, 4.483, 4.483 Å; angles 90.00, 90.00, 90.00 degrees
Space group P2_13 (No. 198)
One atom of each set of equivalent atoms:
1 Cr 0.121 0.379 0.621
2 P 0.089 0.911 0.411

Values from the calculation:
* DOS(E_F): 0.71 states/eV/f.u.
* DFT total energy: -29.72 eV/f.u.

=====

(4)
Below is a PBEsol-optimized structure of MgZrIO2, with properties calculated at the meta-GGA SCAN level.

Cell lengths 4.029, 4.029, 5.038 Å; angles 90.00, 90.00, 90.00 degrees
Space group P4/mmm (No. 123)
One atom of each set of equivalent atoms:
1 Mg 0.000 0.000 0.000
2 Zr 0.500 0.500 0.500
3 I 0.000 0.000 0.500
4 O 0.000 0.500 0.000

Values from the calculation:
* formation energy (no corrections): -744 meV/atom
* DOS(E_F): 1.99 states/eV/f.u.
* DFT total energy: -88.59 eV/f.u.

=====

(5)
Below is a PBEsol-optimized structure of ErIn2Ru, with properties calculated at the meta-GGA SCAN level.

Cell lengths 3.933, 9.920, 8.520 Å; angles 90.00, 90.00, 90.00 degrees
Space group Cmcm (No. 63)
One atom of each set of equivalent atoms:
1 Er 0.000 0.070 0.250
2 In 0.000 0.356 0.045
3 Ru 0.000 0.221 0.750

Values from the calculation:
* DOS(E_F): 1.59 states/eV/f.u.
* DFT total energy: -153.67 eV/f.u.

=====

(6)
Below is a PBEsol-optimized structure of Hf2GaCl, with properties calculated at the meta-GGA SCAN level.

Cell lengths 6.574, 6.574, 6.574 Å; angles 90.00, 90.00, 90.00 degrees
Space group Fm-3m (No. 225)
One atom of each set of equivalent atoms:
1 Hf 0.250 0.250 0.250
2 Ga 0.000 0.000 0.000
3 Cl 0.000 0.000 0.500

Values from the calculation:
* formation energy (no corrections): -272 meV/atom
* DOS(E_F): 3.98 states/eV/f.u.
* DFT total energy: -150.76 eV/f.u.

=====

(7)
Below is a PBEsol-optimized structure of BaNaGaBr2, with properties calculated at the meta-GGA SCAN level.

Cell lengths 5.672, 5.672, 5.379 Å; angles 90.00, 90.00, 90.00 degrees
Space group P4/mmm (No. 123)
One atom of each set of equivalent atoms:
1 Ba 0.000 0.000 0.000
2 Na 0.500 0.500 0.000
3 Ga 0.500 0.500 0.500
4 Br 0.000 0.500 0.500

Values from the calculation:
* formation energy (no corrections): -705 meV/atom
* DOS(E_F): 0.70 states/eV/f.u.
* DFT total energy: -102.56 eV/f.u.

=====

(8)
Below is a PBEsol-optimized structure of SiTeNF2, with properties calculated at the meta-GGA SCAN level.

Cell lengths 4.414, 4.414, 4.171 Å; angles 90.00, 90.00, 90.00 degrees
Space group P4/mmm (No. 123)
One atom of each set of equivalent atoms:
1 Si 0.000 0.000 0.000
2 Te 0.500 0.500 0.500
3 N 0.500 0.500 0.000
4 F 0.000 0.500 0.500

Values from the calculation:
* formation energy (no corrections): 233 meV/atom
* DOS(E_F): 2.35 states/eV/f.u.
* DFT total energy: -62.47 eV/f.u.